Entry 1:
Computed, not measured: a relaxed RbAc2As crystal at the PBE level of DFT.

Properties
The value obtained for the formation energy from the elements is -0.047 eV per atom. The calculation puts the energy above the most stable polymorph in this dataset at 44.0 kJ/mol of atoms.

Unit cell a=5.4249 b=5.4249 c=4.8060 alpha=90.00 beta=90.00 gamma=90.00
With the nearest neighbours (Å) after each atom.
Space group P4/mmm (No. 123)
Unique sites:
1 Rb 0.0000 0.0000 0.0000 x1  8 Ac 3.62, 4 As 3.84
2 Ac 0.0000 0.5000 0.5000 x2  4 Rb 3.62, 4 As 3.62, 4 Ac 3.84
3 As 0.5000 0.5000 0.0000 x1  8 Ac 3.62, 4 Rb 3.84

Entry 2:
Computed, not measured: a relaxed RbAc3As crystal at the PBE level of DFT.

Properties
The value obtained for the formation energy from the elements is -0.189 eV per atom.

Unit cell a=6.2186 b=6.2186 c=6.2186 alpha=90.00 beta=90.00 gamma=90.00
With the nearest neighbours (Å) after each atom.
Space group Pm-3m (No. 221)
Unique sites:
1 Rb 0.0000 0.0000 0.0000 x1  12 Ac 4.40
2 Ac 0.0000 0.5000 0.5000 x3  2 As 3.11
3 As 0.5000 0.5000 0.5000 x1  6 Ac 3.11

Entry 3:
Computed, not measured: a relaxed RbAc2As crystal at the PBE level of DFT.

Properties
The value obtained for the formation energy from the elements is -0.502 eV per atom. The calculation puts the energy above the most stable polymorph in this dataset at 0.0 kJ/mol of atoms.

Unit cell a=4.3446 b=4.3446 c=37.1357 alpha=90.00 beta=90.00 gamma=120.00
With the nearest neighbours (Å) after each atom.
Space group R-3m (No. 166, hexagonal axes)
Unique sites:
1 Rb 0.0000 0.0000 0.0000 x3  6 Rb 4.34, 2 Ac 4.38
2 Ac 0.0000 0.0000 0.1179 x6  3 As 3.09
3 As 0.0000 0.0000 0.5000 x3  6 Ac 3.09

Entry 4:
Computed, not measured: a relaxed RbAcAs4 crystal at the PBE level of DFT.

Properties
The value obtained for the formation energy from the elements is -0.357 eV per atom.

Unit cell a=8.4370 b=8.4370 c=8.4370 alpha=90.00 beta=90.00 gamma=90.00
With the nearest neighbours (Å) after each atom.
Space group F-43m (No. 216)
Unique sites:
1 Rb 0.0000 0.0000 0.0000 x4  12 As 3.50, 4 Ac 3.65
2 Ac 0.2500 0.2500 0.2500 x4  12 As 3.50, 4 Rb 3.65
3 As 0.1252 0.1252 0.6252 x16  6 As 2.98-2.99

| no. | magnetic moment (Bohr magnetons per cell) |
| --- | --- |
| 1 | 0.0 |
| 2 | 0.0 |
| 3 | 0.0 |
| 4 | 0.0 |